# 1
Entry from Alexandria: an optimized crystal structure of Dy2Y4HoEr2 (GGA-PBE).

Lattice parameters (Å, degrees): 3.5790 9.4689 9.4978 115.29 90.00 100.89
Closest atoms and distances in Å follow each position.
Sites, in units of the cell vectors:
1 Dy 0.8514 0.7028 0.3323  3 Er 3.51, 7 Y 3.52-3.58, 2 Dy 3.58
2 Dy 0.1486 0.2972 0.6677  3 Er 3.51, 7 Y 3.52-3.58, 2 Dy 3.58
3 Y 0.8145 0.6291 0.6674  1 Ho 3.52, 2 Er 3.52, 6 Y 3.53-3.59, 3 Dy 3.53-3.57
4 Y 0.1855 0.3709 0.3326  1 Ho 3.52, 2 Er 3.52, 6 Y 3.53-3.59, 3 Dy 3.53-3.57
5 Y 0.5186 0.0372 0.3340  5 Y 3.51-3.59, 1 Er 3.52, 4 Dy 3.52-3.58, 2 Ho 3.53
6 Y 0.4814 0.9628 0.6660  5 Y 3.51-3.59, 1 Er 3.52, 4 Dy 3.52-3.58, 2 Ho 3.53
7 Ho 0.0000 0.0000 0.0000  6 Y 3.52-3.53, 2 Ho 3.58, 4 Er 3.59
8 Er 0.3331 0.6663 0.0009  3 Dy 3.51, 3 Y 3.52, 4 Er 3.57-3.58, 2 Ho 3.59
9 Er 0.6669 0.3337 0.9991  3 Dy 3.51, 3 Y 3.52, 4 Er 3.57-3.58, 2 Ho 3.59

DOS at the Fermi energy: 12.6 states/eV per cell
formation energy from the elements: 0.00 eV/atom

# 2
Entry from Alexandria: an optimized crystal structure of Dy3Y6HoEr2 (GGA-PBE).

Lattice parameters (Å, degrees): 6.1435 6.1435 11.7685 94.98 94.98 119.94
Closest atoms and distances in Å follow each position.
Sites, in units of the cell vectors:
1 Dy 0.1666 0.8334 0.5000  6 Dy 3.55, 6 Y 3.56
2 Dy 0.8334 0.1666 0.5000  6 Dy 3.55, 6 Y 3.56
3 Dy 0.5000 0.5000 0.5000  6 Dy 3.55, 6 Y 3.56
4 Y 0.9167 0.5833 0.7507  2 Er 3.54, 1 Ho 3.54, 6 Y 3.55, 3 Dy 3.56
5 Y 0.7498 0.7498 0.2492  1 Ho 3.54, 2 Er 3.54, 6 Y 3.55, 3 Dy 3.56
6 Y 0.0833 0.4167 0.2493  2 Er 3.54, 1 Ho 3.54, 6 Y 3.55, 3 Dy 3.56
7 Y 0.5833 0.9167 0.7507  2 Er 3.54, 1 Ho 3.54, 6 Y 3.55, 3 Dy 3.56
8 Y 0.2502 0.2502 0.7508  1 Ho 3.54, 2 Er 3.54, 6 Y 3.55, 3 Dy 3.56
9 Y 0.4167 0.0833 0.2493  2 Er 3.54, 1 Ho 3.54, 6 Y 3.55, 3 Dy 3.56
10 Ho 0.0000 0.0000 0.0000  6 Y 3.54, 6 Er 3.55
11 Er 0.3333 0.6667 0.0000  6 Y 3.54, 3 Ho 3.55, 3 Er 3.55
12 Er 0.6667 0.3333 0.0000  6 Y 3.54, 3 Ho 3.55, 3 Er 3.55

DOS at the Fermi energy: 17.5 states/eV per cell
formation energy from the elements: 0.02 eV/atom

# 3
Entry from Alexandria: an optimized crystal structure of DyY5Ho2Er (GGA-PBE).

Lattice parameters (Å, degrees): 5.5890 10.3673 10.5296 90.00 90.00 105.64
Closest atoms and distances in Å follow each position.
Sites, in units of the cell vectors:
1 Dy 0.8033 0.6065 0.5129  2 Ho 3.37-3.61, 7 Y 3.45-3.77, 2 Er 3.59
2 Dy 0.1967 0.3935 0.0129  2 Ho 3.37-3.61, 7 Y 3.45-3.77, 2 Er 3.59
3 Y 0.3855 0.7710 0.0230  6 Y 3.52-3.84, 4 Ho 3.54-3.59, 1 Dy 3.77
4 Y 0.7212 0.4423 0.8145  1 Er 3.04, 1 Ho 3.33
5 Y 0.4799 0.9598 0.7382  2 Er 3.14-3.28, 2 Ho 3.45
6 Y 0.3006 0.6011 0.7057  4 Y 3.41-3.75, 2 Dy 3.45, 1 Er 3.46, 3 Ho 3.49-3.81
7 Y 0.9828 0.9657 0.5215  2 Er 3.21, 3 Ho 3.37-3.52, 1 Dy 3.59
8 Y 0.6145 0.2290 0.5230  6 Y 3.52-3.84, 4 Ho 3.54-3.59, 1 Dy 3.77
9 Y 0.2788 0.5577 0.3145  1 Er 3.04, 1 Ho 3.33
10 Y 0.5201 0.0402 0.2382  2 Er 3.14-3.28, 2 Ho 3.45
11 Y 0.6994 0.3989 0.2057  4 Y 3.41-3.75, 2 Dy 3.45, 1 Er 3.46, 3 Ho 3.49-3.81
12 Y 0.0172 0.0343 0.0215  2 Er 3.21, 3 Ho 3.37-3.52, 1 Dy 3.59
13 Ho 0.8877 0.7754 0.8163  9 Y 3.33-3.64, 1 Dy 3.61
14 Ho 0.1105 0.2210 0.7376  1 Dy 3.37, 6 Y 3.42-3.65, 2 Er 3.64
15 Ho 0.1123 0.2246 0.3163  9 Y 3.33-3.64, 1 Dy 3.61
16 Ho 0.8895 0.7790 0.2376  1 Dy 3.37, 6 Y 3.42-3.65, 2 Er 3.64
17 Er 0.5879 0.1758 0.9543  5 Y 3.04-3.28
18 Er 0.4121 0.8242 0.4543  5 Y 3.04-3.28

DOS at the Fermi energy: 31.8 states/eV per cell
formation energy from the elements: 0.16 eV/atom

# 4
Entry from Alexandria: an optimized crystal structure of DyY6Ho2Er (GGA-PBE).

Lattice parameters (Å, degrees): 9.6118 8.7461 8.7461 117.55 94.44 94.44
Closest atoms and distances in Å follow each position.
Sites, in units of the cell vectors:
1 Dy 0.2500 0.4079 0.5921  6 Y 3.39-3.53, 2 Ho 3.52
2 Dy 0.7500 0.5921 0.4079  6 Y 3.39-3.53, 2 Ho 3.52
3 Y 0.0559 0.1219 0.7530  7 Y 3.40-3.76, 1 Ho 3.45, 1 Er 3.62
4 Y 0.4441 0.2470 0.8781  7 Y 3.40-3.76, 1 Ho 3.45, 1 Er 3.62
5 Y 0.9441 0.8781 0.2470  7 Y 3.40-3.76, 1 Ho 3.45, 1 Er 3.62
6 Y 0.5559 0.7530 0.1219  7 Y 3.40-3.76, 1 Ho 3.45, 1 Er 3.62
7 Y 0.3160 0.9822 0.4285  3 Y 3.24-3.60, 1 Ho 3.37, 1 Dy 3.45, 1 Er 3.53
8 Y 0.1840 0.5715 0.0178  3 Y 3.24-3.60, 1 Ho 3.37, 1 Dy 3.45, 1 Er 3.53
9 Y 0.6840 0.0178 0.5715  3 Y 3.24-3.60, 1 Ho 3.37, 1 Dy 3.45, 1 Er 3.53
10 Y 0.8160 0.4285 0.9822  3 Y 3.24-3.60, 1 Ho 3.37, 1 Dy 3.45, 1 Er 3.53
11 Y 0.1190 0.7076 0.4966  4 Y 3.24-3.56, 3 Ho 3.24-3.41, 2 Dy 3.39-3.53
12 Y 0.3810 0.5034 0.2924  4 Y 3.24-3.56, 3 Ho 3.24-3.41, 2 Dy 3.39-3.53
13 Y 0.8810 0.2924 0.5034  4 Y 3.24-3.56, 3 Ho 3.24-3.41, 2 Dy 3.39-3.53
14 Y 0.6190 0.4966 0.7076  4 Y 3.24-3.56, 3 Ho 3.24-3.41, 2 Dy 3.39-3.53
15 Ho 0.4547 0.8049 0.7030  5 Y 3.24-3.45, 2 Er 3.36-3.37, 1 Dy 3.52
16 Ho 0.0453 0.2970 0.1951  5 Y 3.24-3.45, 2 Er 3.36-3.37, 1 Dy 3.52
17 Ho 0.5453 0.1951 0.2970  5 Y 3.24-3.45, 2 Er 3.36-3.37, 1 Dy 3.52
18 Ho 0.9547 0.7030 0.8049  5 Y 3.24-3.45, 2 Er 3.36-3.37, 1 Dy 3.52
19 Er 0.2500 0.9769 0.0231  4 Ho 3.36-3.37, 4 Y 3.53-3.62
20 Er 0.7500 0.0231 0.9769  4 Ho 3.36-3.37, 4 Y 3.53-3.62

DOS at the Fermi energy: 30.4 states/eV per cell
formation energy from the elements: 0.12 eV/atom